# 1
Here is crystalline NaPmSm2Te4 at its relaxed geometry from Alexandria via LeMat-Bulk. Energies are from GGA-PBE.

Calculated values
The value obtained for the volume is 31.6 A^3/atom. The raw total energy comes out at -4.879 eV/atom. Its size of the total moment is 0.00 Bohr magnetons per cell. The value obtained for the uncorrected formation energy is -1.37 eV/atom. The value obtained for the density of states at the Fermi level is 3.3 states/eV/cell.

Cell: 4.4372 7.7648 7.7630 Å, 71.00 90.00 90.00°
Last column: nearest neighbours and their distance in Å.
Sites, in units of the cell vectors:
Na 0.5000 0.5000 0.0000  6 Te 3.15-3.17
Te 0.0000 0.7513 0.7499  3 Sm 3.15-3.16, 2 Na 3.17, 1 Pm 3.17
Sm 0.0000 0.0000 0.0000  6 Te 3.15-3.16
Te 0.5000 0.2498 0.7523  1 Na 3.15, 3 Sm 3.16-3.17, 2 Pm 3.17
Sm 0.5000 0.0000 0.5000  6 Te 3.16-3.17
Te 0.5000 0.7502 0.2477  1 Na 3.15, 3 Sm 3.16-3.17, 2 Pm 3.17
Pm 0.0000 0.5000 0.5000  6 Te 3.17
Te 0.0000 0.2487 0.2501  3 Sm 3.15-3.16, 2 Na 3.17, 1 Pm 3.17

---

# 2
Here is crystalline FeCuNi6 at its relaxed geometry from Alexandria via LeMat-Bulk. Energies are from GGA-PBE.

Calculated values
For the offset from the most stable computed form, the calculation gives 0.0 meV per atom. The value obtained for the volume is 11.1 A^3/atom. The formation energy comes out at -0.03 eV per atom. The raw total energy comes out at -5.940 eV/atom. Its size of the total moment is 6.66 Bohr magnetons per cell. The value obtained for the density of states at the Fermi level is 7.9 states/eV/cell.

Cell: 3.5449 3.5449 7.0725 Å, 90.00 90.00 90.00°
Last column: nearest neighbours and their distance in Å.
Sites, in units of the cell vectors:
Ni 0.5000 0.0000 0.7471  2 Fe 2.49, 8 Ni 2.49-2.52, 2 Cu 2.52
Ni 0.5000 0.5000 0.5000  8 Ni 2.49, 4 Fe 2.51
Cu 0.0000 0.0000 0.0000  12 Ni 2.51-2.52
Fe 0.0000 0.0000 0.5000  12 Ni 2.49-2.51
Ni 0.0000 0.5000 0.2529  8 Ni 2.49-2.52, 2 Fe 2.49, 2 Cu 2.52
Ni 0.0000 0.5000 0.7471  2 Fe 2.49, 8 Ni 2.49-2.52, 2 Cu 2.52
Ni 0.5000 0.0000 0.2529  8 Ni 2.49-2.52, 2 Fe 2.49, 2 Cu 2.52
Ni 0.5000 0.5000 0.0000  4 Cu 2.51, 8 Ni 2.52

---

# 3
Here is crystalline TcSb4Pt at its relaxed geometry from Alexandria via LeMat-Bulk. Energies are from GGA-PBE.

Calculated values
For the offset from the most stable computed form, the calculation gives 1159.5 meV per atom. The value obtained for the volume is 25.2 A^3/atom. The raw total energy comes out at -4.415 eV/atom. Its size of the total moment is 3.03 Bohr magnetons per cell. The value obtained for the uncorrected formation energy is 1.07 eV/atom. The value obtained for the density of states at the Fermi level is 5.6 states/eV/cell.

Cell: 5.9815 5.9815 5.9815 Å, 60.00 60.00 60.00°
Last column: nearest neighbours and their distance in Å.
Sites, in units of the cell vectors:
Sb 0.8758 0.3747 0.3747  6 Sb 2.98-3.00
Pt 0.0000 0.0000 0.0000  12 Sb 3.51, 4 Tc 3.66
Sb 0.3747 0.8758 0.3747  6 Sb 2.98-3.00
Tc 0.7500 0.7500 0.7500  12 Sb 3.51, 4 Pt 3.66
Sb 0.3747 0.3747 0.3747  6 Sb 2.98-3.00
Sb 0.3747 0.3747 0.8758  6 Sb 2.98-3.00

---

# 4
Here is crystalline Ca2As4Pd3Rh at its relaxed geometry from Alexandria via LeMat-Bulk. Energies are from GGA-PBE.

Calculated values
The value obtained for the volume is 19.3 A^3/atom. The formation energy comes out at -0.73 eV per atom. The raw total energy comes out at -5.281 eV/atom. Its size of the total moment is 0.00 Bohr magnetons per cell. The value obtained for the density of states at the Fermi level is 6.9 states/eV/cell.

Cell: 4.3230 4.3230 10.3105 Å, 90.00 90.00 90.00°
Last column: nearest neighbours and their distance in Å.
Sites, in units of the cell vectors:
Ca 0.0000 0.5000 0.7470  6 Pd 3.29-3.34, 8 As 3.29-3.39, 2 Rh 3.34
As 0.5000 0.0000 0.6279  3 Pd 2.45-2.53, 2 Rh 2.53
As 0.0000 0.5000 0.3721  3 Pd 2.45-2.53, 2 Rh 2.53
As 0.5000 0.5000 0.0000  4 Pd 2.57
Rh 0.5000 0.5000 0.5000  4 As 2.53
Pd 0.0000 0.0000 0.5000  4 As 2.53
As 0.0000 0.0000 0.0000  4 Pd 2.57
Pd 0.0000 0.5000 0.1348  5 As 2.45-2.57
Pd 0.5000 0.0000 0.8652  5 As 2.45-2.57
Ca 0.5000 0.0000 0.2530  6 Pd 3.29-3.34, 8 As 3.29-3.39, 2 Rh 3.34

---

# 5
Here is crystalline Cs4PdBr2 at its relaxed geometry from Alexandria via LeMat-Bulk. Energies are from GGA-PBE.

Calculated values
The value obtained for the volume is 89.9 A^3/atom. The raw total energy comes out at -2.415 eV/atom. Its size of the total moment is 0.00 Bohr magnetons per cell. The value obtained for the uncorrected formation energy is -0.71 eV/atom. The value obtained for the density of states at the Fermi level is 1.3 states/eV/cell.

Cell: 6.1237 6.1237 17.3352 Å, 79.83 79.83 90.00°
Last column: nearest neighbours and their distance in Å.
Sites, in units of the cell vectors:
Br 0.8014 0.8014 0.3972  1 Cs 3.41
Cs 0.5000 0.0000 0.0000  2 Pd 3.06
Br 0.1986 0.1986 0.6028  1 Cs 3.41
Cs 0.0000 0.5000 0.0000  2 Pd 3.06
Pd 0.0000 0.0000 0.0000  4 Cs 3.06
Cs 0.6997 0.6997 0.6006  1 Br 3.41
Cs 0.3003 0.3003 0.3994  1 Br 3.41